1.
Material: LiCaNd
Method: DFT, GGA-PBE
State: relaxed

Properties
crystal system: tetragonal

Cell lengths 3.699, 3.699, 14.068 Å; angles 90.00, 90.00, 90.00 degrees
Space group I4mm (No. 107)
Inequivalent atoms, fractional coordinates:
1 Li 0.000 0.000 0.000
2 Ca 0.000 0.000 0.349
3 Nd 0.000 0.000 0.649

=====

2.
Material: LiCaNd
Method: DFT, GGA-PBE
State: relaxed

Properties
crystal system: monoclinic

Cell lengths 3.740, 5.715, 9.151 Å; angles 90.00, 101.83, 90.00 degrees
Space group P2_1/m (No. 11)
Inequivalent atoms, fractional coordinates:
1 Li 0.071 0.250 0.144
2 Ca 0.411 0.250 0.822
3 Nd 0.276 0.750 0.551

=====

3.
Material: LiCaNd2
Method: DFT, GGA-PBE
State: relaxed

Properties
crystal system: tetragonal

Cell lengths 3.809, 3.809, 9.053 Å; angles 90.00, 90.00, 90.00 degrees
Space group P4/mmm (No. 123)
Inequivalent atoms, fractional coordinates:
1 Li 0.000 0.000 0.000
2 Ca 0.000 0.000 0.500
3 Nd 0.500 0.500 0.202

=====

4.
Material: LiCaNd
Method: DFT, GGA-PBE
State: relaxed

Properties
crystal system: tetragonal

Cell lengths 5.217, 5.217, 7.825 Å; angles 90.00, 90.00, 90.00 degrees
Space group P4/nmm (No. 129, origin choice 2)
Inequivalent atoms, fractional coordinates:
1 Li 0.250 0.250 0.243
2 Ca 0.250 0.750 0.500
3 Nd 0.250 0.750 0.000

=====

5.
Material: LiCa2Nd2
Method: DFT, GGA-PBE
State: relaxed

Properties
crystal system: tetragonal

Cell lengths 3.766, 3.766, 24.495 Å; angles 90.00, 90.00, 90.00 degrees
Space group I4/mmm (No. 139)
Inequivalent atoms, fractional coordinates:
1 Li 0.000 0.000 0.000
2 Ca 0.000 0.000 0.412
3 Nd 0.000 0.000 0.201

=====

6.
Material: Li4CaNd
Method: DFT, GGA-PBE
State: relaxed

Properties
crystal system: cubic

Cell lengths 8.572, 8.572, 8.572 Å; angles 90.00, 90.00, 90.00 degrees
Space group F-43m (No. 216)
Inequivalent atoms, fractional coordinates:
1 Li 0.125 0.125 0.125
2 Ca 0.250 0.250 0.750
3 Nd 0.000 0.000 0.500

=====

Number 1: energy relative to the elements 109 meV per atom. Number 2: energy relative to the elements 31 meV per atom. Number 3: energy relative to the elements 121 meV per atom. Number 4: energy relative to the elements 363 meV per atom. Number 5: energy relative to the elements 39 meV per atom. Number 6: energy relative to the elements 68 meV per atom.